Entry 1:
# PBE-GGA U4Be2C5, optimized geometry
# **Theoretical density**: 12.1 Mg/m³
# **Total magnetic moment**: 0.1619 μB/atom
# **E_form**: -90 meV per atom
# **Distance to the lowest polymorph of the same formula**: 0 meV per atom
data_U4Be2C5
_symmetry_space_group_name_H-M 'P 1'
_symmetry_Int_Tables_number 1
_symmetry_space_group_name_Hall 'P 1'
_cell_length_a 6.073
_cell_length_b 6.073
_cell_length_c 5.060
_cell_angle_alpha 90.39
_cell_angle_beta 90.39
_cell_angle_gamma 130.71
loop_
_atom_site_label
_atom_site_fract_x
_atom_site_fract_y
_atom_site_fract_z
_atom_site_occupancy
U1 0.114 0.382 0.249 1
U2 0.382 0.114 0.249 1
U3 0.618 0.886 0.751 1
U4 0.886 0.618 0.751 1
Be1 0.244 0.244 0.755 1
Be2 0.756 0.756 0.245 1
C1 0.000 0.000 0.000 1
C2 0.105 0.431 0.732 1
C3 0.431 0.105 0.732 1
C4 0.569 0.895 0.268 1
C5 0.895 0.569 0.268 1

Entry 2:
# PBE-GGA U2BeC, optimized geometry
# **Theoretical density**: 11.6 Mg/m³
# **Total magnetic moment**: 0.0001 μB/atom
# **E_form**: 597 meV per atom
data_U2BeC
_symmetry_space_group_name_H-M 'P 1'
_symmetry_Int_Tables_number 1
_symmetry_space_group_name_Hall 'P 1'
_cell_length_a 3.019
_cell_length_b 3.019
_cell_length_c 26.980
_cell_angle_alpha 90.00
_cell_angle_beta 90.00
_cell_angle_gamma 120.00
loop_
_atom_site_label
_atom_site_fract_x
_atom_site_fract_y
_atom_site_fract_z
_atom_site_occupancy
U1 0.000 0.000 0.109 1
U2 0.000 0.000 0.891 1
U3 0.333 0.667 0.557 1
U4 0.333 0.667 0.776 1
U5 0.667 0.333 0.224 1
U6 0.667 0.333 0.443 1
Be1 0.000 0.000 0.000 1
Be2 0.333 0.667 0.667 1
Be3 0.667 0.333 0.333 1
C1 0.000 0.000 0.500 1
C2 0.333 0.667 0.167 1
C3 0.667 0.333 0.833 1

Entry 3:
# PBE-GGA UBeC2, optimized geometry
# **Theoretical density**: 7.6 Mg/m³
# **Total magnetic moment**: 0.0000 μB/atom
# **E_form**: 273 meV per atom
data_UBeC2
_symmetry_space_group_name_H-M 'P 1'
_symmetry_Int_Tables_number 1
_symmetry_space_group_name_Hall 'P 1'
_cell_length_a 3.664
_cell_length_b 3.664
_cell_length_c 15.304
_cell_angle_alpha 90.00
_cell_angle_beta 90.00
_cell_angle_gamma 120.00
loop_
_atom_site_label
_atom_site_fract_x
_atom_site_fract_y
_atom_site_fract_z
_atom_site_occupancy
U1 0.000 0.000 0.000 1
U2 0.333 0.667 0.667 1
U3 0.667 0.333 0.333 1
Be1 0.000 0.000 0.500 1
Be2 0.333 0.667 0.167 1
Be3 0.667 0.333 0.833 1
C1 0.000 0.000 0.393 1
C2 0.000 0.000 0.607 1
C3 0.333 0.667 0.059 1
C4 0.333 0.667 0.274 1
C5 0.667 0.333 0.726 1
C6 0.667 0.333 0.941 1

Entry 4:
# PBE-GGA U4Be2C5, optimized geometry
# **Theoretical density**: 11.0 Mg/m³
# **Total magnetic moment**: 0.4435 μB/atom
# **E_form**: 225 meV per atom
# **Distance to the lowest polymorph of the same formula**: 315 meV per atom
data_U4Be2C5
_symmetry_space_group_name_H-M 'P 1'
_symmetry_Int_Tables_number 1
_symmetry_space_group_name_Hall 'P 1'
_cell_length_a 6.665
_cell_length_b 6.665
_cell_length_c 4.996
_cell_angle_alpha 90.00
_cell_angle_beta 90.00
_cell_angle_gamma 135.70
loop_
_atom_site_label
_atom_site_fract_x
_atom_site_fract_y
_atom_site_fract_z
_atom_site_occupancy
U1 0.148 0.852 0.000 1
U2 0.338 0.662 0.500 1
U3 0.662 0.338 0.500 1
U4 0.852 0.148 0.000 1
Be1 0.000 0.000 0.500 1
Be2 0.500 0.500 0.000 1
C1 0.147 0.853 0.500 1
C2 0.346 0.654 0.000 1
C3 0.500 0.500 0.500 1
C4 0.654 0.346 0.000 1
C5 0.853 0.147 0.500 1

Entry 5:
# PBE-GGA BeV3C, optimized geometry
# **Theoretical density**: 5.2 Mg/m³
# **Total magnetic moment**: 0.0000 μB/atom
# **E_form**: -213 meV per atom
# **Distance to the lowest polymorph of the same formula**: 0 meV per atom
data_BeV3C
_symmetry_space_group_name_H-M 'P 1'
_symmetry_Int_Tables_number 1
_symmetry_space_group_name_Hall 'P 1'
_cell_length_a 4.856
_cell_length_b 4.856
_cell_length_c 6.621
_cell_angle_alpha 109.57
_cell_angle_beta 109.57
_cell_angle_gamma 50.24
loop_
_atom_site_label
_atom_site_fract_x
_atom_site_fract_y
_atom_site_fract_z
_atom_site_occupancy
Be1 0.095 0.095 0.435 1
Be2 0.905 0.905 0.565 1
V1 0.133 0.133 0.928 1
V2 0.356 0.356 0.367 1
V3 0.385 0.385 0.782 1
V4 0.615 0.615 0.218 1
V5 0.644 0.644 0.633 1
V6 0.867 0.867 0.072 1
C1 0.374 0.374 0.079 1
C2 0.626 0.626 0.921 1

Entry 6:
# PBE-GGA Be2V3C, optimized geometry
# **Theoretical density**: 4.7 Mg/m³
# **Total magnetic moment**: 0.0000 μB/atom
# **E_form**: -247 meV per atom
data_Be2V3C
_symmetry_space_group_name_H-M 'P 1'
_symmetry_Int_Tables_number 1
_symmetry_space_group_name_Hall 'P 1'
_cell_length_a 6.385
_cell_length_b 6.385
_cell_length_c 6.385
_cell_angle_alpha 90.00
_cell_angle_beta 90.00
_cell_angle_gamma 90.00
loop_
_atom_site_label
_atom_site_fract_x
_atom_site_fract_y
_atom_site_fract_z
_atom_site_occupancy
Be1 0.075 0.075 0.075 1
Be2 0.175 0.825 0.325 1
Be3 0.325 0.175 0.825 1
Be4 0.425 0.925 0.575 1
Be5 0.575 0.425 0.925 1
Be6 0.675 0.675 0.675 1
Be7 0.825 0.325 0.175 1
Be8 0.925 0.575 0.425 1
V1 0.045 0.875 0.705 1
V2 0.125 0.205 0.455 1
V3 0.205 0.455 0.125 1
V4 0.295 0.545 0.625 1
V5 0.375 0.795 0.955 1
V6 0.455 0.125 0.205 1
V7 0.545 0.625 0.295 1
V8 0.625 0.295 0.545 1
V9 0.705 0.045 0.875 1
V10 0.795 0.955 0.375 1
V11 0.875 0.705 0.045 1
V12 0.955 0.375 0.795 1
C1 0.125 0.625 0.875 1
C2 0.375 0.375 0.375 1
C3 0.625 0.875 0.125 1
C4 0.875 0.125 0.625 1

Entry 7:
# PBE-GGA BeV2C, optimized geometry
# **Theoretical density**: 5.2 Mg/m³
# **Total magnetic moment**: 0.0000 μB/atom
# **E_form**: 88 meV per atom
# **Distance to the lowest polymorph of the same formula**: 311 meV per atom
data_BeV2C
_symmetry_space_group_name_H-M 'P 1'
_symmetry_Int_Tables_number 1
_symmetry_space_group_name_Hall 'P 1'
_cell_length_a 2.667
_cell_length_b 2.667
_cell_length_c 5.538
_cell_angle_alpha 90.00
_cell_angle_beta 90.00
_cell_angle_gamma 90.00
loop_
_atom_site_label
_atom_site_fract_x
_atom_site_fract_y
_atom_site_fract_z
_atom_site_occupancy
Be1 0.000 0.000 0.000 1
V1 0.500 0.500 0.291 1
V2 0.500 0.500 0.709 1
C1 0.000 0.000 0.500 1

Entry 8:
# PBE-GGA Be3V3C, optimized geometry
# **Theoretical density**: 4.4 Mg/m³
# **Total magnetic moment**: 0.0000 μB/atom
# **E_form**: -311 meV per atom
data_Be3V3C
_symmetry_space_group_name_H-M 'P 1'
_symmetry_Int_Tables_number 1
_symmetry_space_group_name_Hall 'P 1'
_cell_length_a 7.418
_cell_length_b 7.418
_cell_length_c 7.418
_cell_angle_alpha 60.00
_cell_angle_beta 60.00
_cell_angle_gamma 60.00
loop_
_atom_site_label
_atom_site_fract_x
_atom_site_fract_y
_atom_site_fract_z
_atom_site_occupancy
Be1 0.000 0.000 0.000 1
Be2 0.000 0.000 0.500 1
Be3 0.000 0.500 0.000 1
Be4 0.111 0.796 0.796 1
Be5 0.204 0.204 0.204 1
Be6 0.204 0.204 0.889 1
Be7 0.204 0.889 0.204 1
Be8 0.500 0.000 0.000 1
Be9 0.796 0.111 0.796 1
Be10 0.796 0.796 0.111 1
Be11 0.796 0.796 0.796 1
Be12 0.889 0.204 0.204 1
V1 0.186 0.186 0.564 1
V2 0.186 0.564 0.186 1
V3 0.186 0.564 0.564 1
V4 0.436 0.436 0.814 1
V5 0.436 0.814 0.436 1
V6 0.436 0.814 0.814 1
V7 0.564 0.186 0.186 1
V8 0.564 0.186 0.564 1
V9 0.564 0.564 0.186 1
V10 0.814 0.436 0.436 1
V11 0.814 0.436 0.814 1
V12 0.814 0.814 0.436 1
C1 0.000 0.500 0.500 1
C2 0.500 0.000 0.500 1
C3 0.500 0.500 0.000 1
C4 0.500 0.500 0.500 1

Entry 9:
# PBE-GGA Be3V6C, optimized geometry
# **Theoretical density**: 4.8 Mg/m³
# **Total magnetic moment**: 0.0000 μB/atom
# **E_form**: 71 meV per atom
data_Be3V6C
_symmetry_space_group_name_H-M 'P 1'
_symmetry_Int_Tables_number 1
_symmetry_space_group_name_Hall 'P 1'
_cell_length_a 5.115
_cell_length_b 5.115
_cell_length_c 6.790
_cell_angle_alpha 121.71
_cell_angle_beta 121.71
_cell_angle_gamma 56.30
loop_
_atom_site_label
_atom_site_fract_x
_atom_site_fract_y
_atom_site_fract_z
_atom_site_occupancy
Be1 0.000 0.000 0.000 1
Be2 0.360 0.360 0.835 1
Be3 0.640 0.640 0.165 1
V1 0.165 0.658 0.210 1
V2 0.248 0.248 0.411 1
V3 0.342 0.835 0.790 1
V4 0.658 0.165 0.210 1
V5 0.752 0.752 0.589 1
V6 0.835 0.342 0.790 1
C1 0.500 0.500 0.500 1

Entry 10:
# PBE-GGA BeVC2, optimized geometry
# **Theoretical density**: 4.1 Mg/m³
# **Total magnetic moment**: 0.0000 μB/atom
# **E_form**: 610 meV per atom
data_BeVC2
_symmetry_space_group_name_H-M 'P 1'
_symmetry_Int_Tables_number 1
_symmetry_space_group_name_Hall 'P 1'
_cell_length_a 5.025
_cell_length_b 5.025
_cell_length_c 5.334
_cell_angle_alpha 90.00
_cell_angle_beta 90.00
_cell_angle_gamma 90.00
loop_
_atom_site_label
_atom_site_fract_x
_atom_site_fract_y
_atom_site_fract_z
_atom_site_occupancy
Be1 0.000 0.000 0.000 1
Be2 0.000 0.500 0.250 1
Be3 0.500 0.000 0.750 1
Be4 0.500 0.500 0.500 1
V1 0.000 0.000 0.500 1
V2 0.000 0.500 0.750 1
V3 0.500 0.000 0.250 1
V4 0.500 0.500 0.000 1
C1 0.214 0.250 0.125 1
C2 0.250 0.714 0.375 1
C3 0.250 0.786 0.875 1
C4 0.286 0.250 0.625 1
C5 0.714 0.750 0.625 1
C6 0.750 0.214 0.875 1
C7 0.750 0.286 0.375 1
C8 0.786 0.750 0.125 1

Entry 11:
# PBE-GGA BeV2C, optimized geometry
# **Theoretical density**: 4.9 Mg/m³
# **Total magnetic moment**: 0.0000 μB/atom
# **E_form**: 150 meV per atom
# **Distance to the lowest polymorph of the same formula**: 373 meV per atom
data_BeV2C
_symmetry_space_group_name_H-M 'P 1'
_symmetry_Int_Tables_number 1
_symmetry_space_group_name_Hall 'P 1'
_cell_length_a 5.802
_cell_length_b 5.802
_cell_length_c 4.931
_cell_angle_alpha 90.00
_cell_angle_beta 90.00
_cell_angle_gamma 90.00
loop_
_atom_site_label
_atom_site_fract_x
_atom_site_fract_y
_atom_site_fract_z
_atom_site_occupancy
Be1 0.000 0.000 0.000 1
Be2 0.000 0.500 0.250 1
Be3 0.500 0.000 0.750 1
Be4 0.500 0.500 0.500 1
V1 0.213 0.250 0.625 1
V2 0.250 0.713 0.875 1
V3 0.250 0.787 0.375 1
V4 0.287 0.250 0.125 1
V5 0.713 0.750 0.125 1
V6 0.750 0.213 0.375 1
V7 0.750 0.287 0.875 1
V8 0.787 0.750 0.625 1
C1 0.000 0.000 0.500 1
C2 0.000 0.500 0.750 1
C3 0.500 0.000 0.250 1
C4 0.500 0.500 0.000 1

Entry 12:
# PBE-GGA Be2VC, optimized geometry
# **Theoretical density**: 3.7 Mg/m³
# **Total magnetic moment**: 0.0011 μB/atom
# **E_form**: 164 meV per atom
data_Be2VC
_symmetry_space_group_name_H-M 'P 1'
_symmetry_Int_Tables_number 1
_symmetry_space_group_name_Hall 'P 1'
_cell_length_a 6.014
_cell_length_b 6.014
_cell_length_c 4.027
_cell_angle_alpha 90.00
_cell_angle_beta 90.00
_cell_angle_gamma 90.00
loop_
_atom_site_label
_atom_site_fract_x
_atom_site_fract_y
_atom_site_fract_z
_atom_site_occupancy
Be1 0.157 0.250 0.125 1
Be2 0.250 0.657 0.375 1
Be3 0.250 0.843 0.875 1
Be4 0.343 0.250 0.625 1
Be5 0.657 0.750 0.625 1
Be6 0.750 0.157 0.875 1
Be7 0.750 0.343 0.375 1
Be8 0.843 0.750 0.125 1
V1 0.000 0.000 0.500 1
V2 0.000 0.500 0.750 1
V3 0.500 0.000 0.250 1
V4 0.500 0.500 0.000 1
C1 0.000 0.000 0.000 1
C2 0.000 0.500 0.250 1
C3 0.500 0.000 0.750 1
C4 0.500 0.500 0.500 1

Question: What is the total magnetic moment in the fourth record?
Answer: 0.4435 μB/atom

Question: Look up the total magnetic moment of the first one.
Answer: 0.1619 μB/atom